[1]
{"formula": "PrDyHo6Tm2", "functional": "PBE-GGA", "state": "relaxed", "cell": [[9.0002, -1.9110, -1.9832], [0.8766, 8.4779, -1.9555], [0.8766, -2.2684, 8.3996]], "species": ["Pr", "Pr", "Ho", "Ho", "Ho", "Ho", "Ho", "Ho", "Ho", "Ho", "Ho", "Ho", "Ho", "Ho", "Dy", "Dy", "Tm", "Tm", "Tm", "Tm"], "fractional_positions": [[0.2500, 0.9700, 0.0300], [0.7500, 0.0300, 0.9700], [0.0572, 0.1211, 0.7543], [0.8841, 0.2918, 0.5142], [0.5572, 0.7543, 0.1211], [0.3187, 0.9849, 0.4392], [0.9428, 0.8789, 0.2457], [0.3841, 0.5142, 0.2918], [0.1813, 0.5608, 0.0151], [0.1159, 0.7082, 0.4858], [0.4428, 0.2457, 0.8789], [0.6813, 0.0151, 0.5608], [0.6159, 0.4858, 0.7082], [0.8187, 0.4392, 0.9849], [0.7500, 0.5896, 0.4104], [0.2500, 0.4104, 0.5896], [0.0491, 0.3054, 0.2003], [0.5491, 0.2003, 0.3054], [0.4509, 0.7997, 0.6946], [0.9509, 0.6946, 0.7997]], "dos_ef_per_ev_cell": 30.10, "energy_ry_per_atom": -0.32756, "delta_e_f_mev_per_atom": 122}

[2]
{"formula": "Nd2DyPa", "functional": "PBE-GGA", "state": "relaxed", "cell": [[3.3833, 0.0000, 0.0000], [1.6917, 2.9301, 0.0000], [1.6917, 0.9767, 12.4770]], "species": ["Pa", "Nd", "Nd", "Dy"], "fractional_positions": [[0.0000, 0.0000, 0.0000], [0.0864, 0.0864, 0.7409], [0.9136, 0.9136, 0.2591], [0.5000, 0.5000, 0.5000]], "dos_ef_per_ev_cell": 5.61, "energy_ry_per_atom": -0.41128, "delta_e_f_mev_per_atom": 313, "e_above_lowest_polymorph_ev_per_fu": 0.57}

[3]
{"formula": "TaPAu2", "functional": "PBE-GGA", "state": "relaxed", "cell": [[3.7794, 0.0000, 0.0000], [0.0000, 3.7794, 0.0000], [0.0000, 0.0000, 4.8225]], "species": ["Au", "Au", "Ta", "P"], "fractional_positions": [[0.0000, 0.5000, 0.0000], [0.5000, 0.0000, 0.0000], [0.0000, 0.0000, 0.5000], [0.5000, 0.5000, 0.5000]], "dos_ef_per_ev_cell": 2.72, "energy_ry_per_atom": -0.42769, "delta_e_f_mev_per_atom": 135}

[4]
{"formula": "TbPmDy4S8", "functional": "PBE-GGA", "state": "relaxed", "cell": [[-5.6811, -3.6019, -4.4903], [-0.5920, -8.0658, -0.0647], [-6.2919, -3.6218, 3.5820]], "species": ["S", "S", "S", "S", "S", "S", "S", "S", "Dy", "Dy", "Dy", "Dy", "Pm", "Tb"], "fractional_positions": [[0.2291, 0.7562, 0.2585], [0.2407, 0.2407, 0.7383], [0.2395, 0.2395, 0.2815], [0.7573, 0.7573, 0.7281], [0.7562, 0.7562, 0.2585], [0.2407, 0.7804, 0.7383], [0.7562, 0.2291, 0.2585], [0.7804, 0.2407, 0.7383], [0.9995, 0.5017, 0.4994], [0.6252, 0.6252, 0.1245], [0.5017, 0.9995, 0.4994], [0.9995, 0.9995, 0.4994], [0.3748, 0.3748, 0.8757], [0.9995, 0.9995, 0.0016]], "dos_ef_per_ev_cell": 8.42, "energy_ry_per_atom": -0.46120, "raw_formation_energy_ev_per_atom": -1.932}

[5]
{"formula": "LaTmNiAg", "functional": "PBE-GGA", "state": "relaxed", "cell": [[-0.0606, -3.9512, 3.1943], [2.8083, -4.1158, -0.9963], [4.0858, -1.0357, 2.8377]], "species": ["La", "Ag", "Ni", "Tm"], "fractional_positions": [[0.5000, 0.5000, 0.5000], [0.2500, 0.2500, 0.2500], [0.7500, 0.7500, 0.7500], [0.0000, 0.0000, 0.0000]], "dos_ef_per_ev_cell": 1.89, "energy_ry_per_atom": -0.35040, "delta_e_f_mev_per_atom": -260}

[6]
{"formula": "Pr3H3Pb", "functional": "PBE-GGA", "state": "relaxed", "cell": [[6.9454, 0.0000, 0.0000], [3.4727, 6.0149, 0.0000], [3.4727, 2.0050, 7.6203]], "species": ["Pb", "Pb", "H", "H", "H", "H", "H", "H", "Pr", "Pr", "Pr", "Pr", "Pr", "Pr"], "fractional_positions": [[0.3338, 0.3338, 0.9987], [0.6662, 0.6662, 0.0013], [0.2111, 0.8674, 0.3861], [0.1326, 0.4646, 0.6139], [0.7889, 0.1326, 0.6139], [0.8674, 0.5354, 0.3861], [0.4646, 0.7889, 0.6139], [0.5354, 0.2111, 0.3861], [0.7685, 0.4366, 0.6957], [0.0992, 0.7685, 0.6957], [0.4366, 0.0992, 0.6957], [0.2315, 0.5634, 0.3043], [0.9008, 0.2315, 0.3043], [0.5634, 0.9008, 0.3043]], "dos_ef_per_ev_cell": 6.29, "energy_ry_per_atom": -0.32853}

[7]
{"formula": "AsIrCl2", "functional": "PBE-GGA", "state": "relaxed", "cell": [[8.8867, 0.0000, -0.0022], [0.0000, 3.7108, 0.0000], [-1.8304, 0.0000, 6.1602]], "species": ["As", "As", "Ir", "Ir", "Cl", "Cl", "Cl", "Cl"], "fractional_positions": [[0.8531, 0.0000, 0.2443], [0.8531, 0.5000, 0.7443], [0.7284, 0.5000, 0.3618], [0.7284, 0.0000, 0.8618], [0.5554, 0.5000, 0.9605], [0.5554, 0.0000, 0.4605], [0.1089, 0.5000, 0.8454], [0.1089, 0.0000, 0.3454]], "dos_ef_per_ev_cell": 0.00, "energy_ry_per_atom": -0.35068, "raw_formation_energy_ev_per_atom": -0.470, "e_above_lowest_polymorph_ev_per_fu": 0.00}

[8]
{"formula": "LaTbDyTh2", "functional": "PBE-GGA", "state": "relaxed", "cell": [[7.1082, 0.0000, 0.0000], [0.0000, 8.5730, 0.0000], [0.0000, -4.2865, 5.9400]], "species": ["Tb", "Tb", "La", "La", "Th", "Th", "Th", "Th", "Dy", "Dy"], "fractional_positions": [[0.7500, 0.7154, 0.4308], [0.2500, 0.2846, 0.5692], [0.7500, 0.2488, 0.4976], [0.2500, 0.7512, 0.5024], [0.5000, 0.3146, 0.0000], [0.5000, 0.6854, 0.0000], [0.0000, 0.3146, 0.0000], [0.0000, 0.6854, 0.0000], [0.2500, 0.0173, 0.0347], [0.7500, 0.9827, 0.9653]], "dos_ef_per_ev_cell": 15.75, "energy_ry_per_atom": -0.39345, "delta_e_f_mev_per_atom": 447}